This record from Alexandria via LeMat-Bulk describes a geometry-optimized KGdFe4O12 structure. The functional is GGA+U.

Properties
total energy = -6.46 eV per atom
density of states at the Fermi level = 9.70 states/eV/cell

Structure (POSCAR):
```
KGdFe4O12
1.0
7.638 0.000 0.000
0.000 3.830 3.835
0.000 -3.830 3.835
K Gd Fe O
1 1 4 12
Cartesian
0.000 0.000 0.000 K
3.819 0.000 3.748 Gd
1.886 -1.906 5.738 Fe
1.886 1.906 5.738 Fe
5.752 -1.906 5.738 Fe
5.752 1.906 5.738 Fe
0.000 -1.859 5.727 O
0.000 1.859 5.727 O
1.960 0.000 1.994 O
2.048 -1.829 3.827 O
2.048 1.829 3.827 O
2.136 0.000 5.642 O
3.819 -1.774 1.966 O
3.819 1.774 1.966 O
5.502 0.000 5.642 O
5.590 -1.829 3.827 O
5.590 1.829 3.827 O
5.678 0.000 1.994 O
```